[1]
ZnTc2Mo: relaxed, PBEsol.

Cell: 3.840 3.840 4.699 Å, 114.11 114.11 90.00°
Positions (direct):
Mo: 0.000 0.000 0.000
Tc: 0.750 0.250 0.500
Tc: 0.250 0.750 0.500
Zn: 0.500 0.500 0.000

Results
- Symmetry: No. 139

=====

[2]
K2MnSi: relaxed, PBEsol.

Cell: 3.148 3.148 11.809 Å, 82.34 82.34 60.00°
Each line ends with the local moment (μB).
Positions (direct):
K: 0.255 0.255 0.236  -0.01
K: 0.745 0.745 0.764  -0.01
Mn: 0.500 0.500 0.500  3.98
Si: 0.000 0.000 0.000  0.00

Results
- Symmetry: No. 166

=====

[3]
Cr2HN: relaxed, PBEsol.

Cell: 3.445 3.445 3.445 Å, 60.00 60.00 60.00°
Positions (direct):
Cr: 0.250 0.250 0.250
Cr: 0.750 0.750 0.750
H: 0.000 0.000 0.000
N: 0.500 0.500 0.500

Results
- Symmetry: No. 225

=====

[4]
Cd2NiMo: relaxed, PBEsol.

Cell: 2.684 5.125 5.125 Å, 113.95 90.00 90.00°
Each line ends with the local moment (μB).
Positions (direct):
Cd: 0.000 0.500 0.000  0.00
Cd: 0.000 0.000 0.500  0.00
Mo: 0.500 0.000 0.000  0.22
Ni: 0.500 0.500 0.500  0.29

Results
- Symmetry: No. 65

=====

[5]
LaMg2Cu: relaxed, PBEsol.

Cell: 3.156 5.113 6.464 Å, 112.43 102.80 93.27°
Positions (direct):
Cu: 0.000 0.500 0.000
La: 0.500 0.000 0.000
Mg: 0.500 0.500 0.500
Mg: 0.000 0.000 0.500

Results
- Symmetry: No. 12

=====

[6]
ZnBIO2: relaxed, PBEsol.

Cell: 3.463 3.463 5.660 Å, 90.00 90.00 90.00°
Positions (direct):
I: 0.000 0.000 0.500
Zn: 0.500 0.500 0.500
B: 0.000 0.000 0.000
O: 0.000 0.500 0.000
O: 0.500 0.000 0.000

Results
- Symmetry: No. 123

=====

[7]
CaSi2Sb: relaxed, PBEsol.

Cell: 3.665 4.789 5.933 Å, 113.80 107.99 90.00°
Positions (direct):
Sb: 0.229 0.729 0.458
Ca: 0.468 0.468 0.936
Si: 0.073 0.073 0.146
Si: 0.730 0.230 0.459

Results
- Symmetry: No. 44

=====

[8]
LaAg2: relaxed, PBEsol.

Cell: 5.172 5.172 6.130 Å, 90.00 90.00 120.00°
Positions (direct):
Ag: 0.000 0.000 0.000
Ag: 0.000 0.000 0.500
Ag: 0.667 0.333 0.750
Ag: 0.333 0.667 0.250
La: 0.667 0.333 0.250
La: 0.333 0.667 0.750

Results
- Symmetry: No. 194

=====

One value per record, in order, for ρ: 10.49 2.67 6.84 9.78 4.49 5.75 4.04 8.30 g/cm³.
One value per record, in order, for E_tot: -35.18 -13.70 -31.31 -18.58 -12.42 -20.16 -18.80 -24.83 eV per cell.